Record 1
This record from the Alexandria database describes a relaxed structure of Ba2NaSn3Pt4. The functional is PBE.

Results
**Crystal system**: tetragonal
**Size of the total moment**: 0.000 μB/cell
**Space group**: P-4m2 (115)
**ΔE_f**: -16.278 kcal/mol of atoms

Cell and atoms, written as CIF:
```
data_Ba2NaSn3Pt4
_space_group_name_H-M_alt 'P 1'
_space_group_IT_number 1
_space_group_name_Hall 'P 1'
_cell_length_a 4.745
_cell_length_b 4.745
_cell_length_c 11.071
_cell_angle_alpha 90.00
_cell_angle_beta 90.00
_cell_angle_gamma 90.00
loop_
_atom_site_label
_atom_site_type_symbol
_atom_site_fract_x
_atom_site_fract_y
_atom_site_fract_z
Sn1 Sn 0.000 0.000 0.500
Sn2 Sn 0.500 0.000 0.883
Sn3 Sn 0.000 0.500 0.117
Pt1 Pt 0.000 0.000 0.000
Pt2 Pt 0.000 0.500 0.362
Pt3 Pt 0.500 0.000 0.638
Pt4 Pt 0.500 0.500 0.000
Ba1 Ba 0.500 0.000 0.247
Ba2 Ba 0.000 0.500 0.753
Na1 Na 0.500 0.500 0.500
```

=====

Record 2
This record from the Alexandria database describes a relaxed structure of In3Hg2Pb2. The functional is PBE.

Results
**Crystal system**: monoclinic
**Energy above the most stable polymorph in this dataset**: 18 kJ/mol of formula units
**Size of the total moment**: 0.000 μB/cell
**Space group**: C2/m (12)
**ΔE_f**: 1.160 kcal/mol of atoms

Cell and atoms, written as CIF:
```
data_In3Hg2Pb2
_space_group_name_H-M_alt 'P 1'
_space_group_IT_number 1
_space_group_name_Hall 'P 1'
_cell_length_a 5.519
_cell_length_b 6.299
_cell_length_c 7.806
_cell_angle_alpha 59.65
_cell_angle_beta 69.30
_cell_angle_gamma 64.02
loop_
_atom_site_label
_atom_site_type_symbol
_atom_site_fract_x
_atom_site_fract_y
_atom_site_fract_z
In1 In 0.242 0.379 0.137
In2 In 0.000 0.500 0.500
In3 In 0.758 0.621 0.863
Pb1 Pb 0.500 0.259 0.742
Pb2 Pb 0.500 0.741 0.258
Hg1 Hg 0.184 0.905 0.726
Hg2 Hg 0.816 0.095 0.274
```

=====

Record 3
This record from the Alexandria database describes a relaxed structure of AcGaCl2. The functional is PBE.

Results
**Crystal system**: trigonal
**E**: -3.703 eV per atom
**Size of the total moment**: 0.000 μB/cell
**Space group**: R-3m (166)

Cell and atoms, written as CIF:
```
data_AcGaCl2
_space_group_name_H-M_alt 'P 1'
_space_group_IT_number 1
_space_group_name_Hall 'P 1'
_cell_length_a 4.293
_cell_length_b 4.293
_cell_length_c 9.536
_cell_angle_alpha 76.99
_cell_angle_beta 76.99
_cell_angle_gamma 60.00
loop_
_atom_site_label
_atom_site_type_symbol
_atom_site_fract_x
_atom_site_fract_y
_atom_site_fract_z
Ac1 Ac 0.000 0.000 0.000
Ga1 Ga 0.500 0.500 0.500
Cl1 Cl 0.104 0.104 0.688
Cl2 Cl 0.896 0.896 0.312
```

=====

Record 4
This record from the Alexandria database describes a relaxed structure of Ac7Zn2Pb2. The functional is PBE.

Results
**Crystal system**: orthorhombic
**Size of the total moment**: 0.000 μB/cell
**Space group**: Cmmm (65)
**ΔE_f**: -1.654 kcal/mol of atoms

Cell and atoms, written as CIF:
```
data_Ac7Zn2Pb2
_space_group_name_H-M_alt 'P 1'
_space_group_IT_number 1
_space_group_name_Hall 'P 1'
_cell_length_a 7.569
_cell_length_b 7.910
_cell_length_c 7.569
_cell_angle_alpha 90.01
_cell_angle_beta 108.88
_cell_angle_gamma 89.99
loop_
_atom_site_label
_atom_site_type_symbol
_atom_site_fract_x
_atom_site_fract_y
_atom_site_fract_z
Ac1 Ac 0.000 0.725 0.500
Ac2 Ac 0.500 0.237 0.500
Ac3 Ac 0.500 0.763 0.500
Ac4 Ac 0.000 0.275 0.500
Ac5 Ac 0.000 0.000 0.000
Ac6 Ac 0.500 0.725 0.000
Ac7 Ac 0.500 0.275 0.000
Pb1 Pb 0.823 0.500 0.823
Pb2 Pb 0.177 0.500 0.177
Zn1 Zn 0.714 0.000 0.286
Zn2 Zn 0.286 0.000 0.714
```